(1)
Computed, not measured: a geometry-optimized Ac4Al3Pd2 structure at the PBE level of DFT.

a = 8.688 Å, b = 8.688 Å, c = 7.649 Å
α = 107.54°, β = 107.54°, γ = 27.93°
Fractional positions:
Ac (0.074, 0.074, 0.377)
Ac (0.263, 0.263, 0.800)
Ac (0.737, 0.737, 0.200)
Ac (0.926, 0.926, 0.623)
Al (0.402, 0.402, 0.234)
Al (0.500, 0.500, 0.000)
Al (0.598, 0.598, 0.766)
Pd (0.090, 0.090, 0.965)
Pd (0.910, 0.910, 0.035)

Computed properties:
Formation enthalpy at 0 K ... -0.499 eV/atom
M_tot ... 0.00 μB per formula unit
Mass density ... 7.76 Mg/m³



(2)
Computed, not measured: a geometry-optimized ZrBeHgAs2 structure at the PBE level of DFT.

a = 5.203 Å, b = 5.203 Å, c = 4.193 Å
α = 90.00°, β = 90.00°, γ = 90.00°
Fractional positions:
Zr (0.000, 0.000, 0.000)
Be (0.500, 0.500, 0.000)
Hg (0.500, 0.500, 0.500)
As (0.000, 0.500, 0.500)
As (0.500, 0.000, 0.500)

Computed properties:
Formation enthalpy at 0 K ... 0.818 eV/atom
M_tot ... 0.00 μB per formula unit
Mass density ... 6.59 Mg/m³



(3)
Computed, not measured: a geometry-optimized Fe2BCl structure at the PBE level of DFT.

a = 3.835 Å, b = 3.835 Å, c = 3.835 Å
α = 60.00°, β = 60.00°, γ = 60.00°
Fractional positions:
Fe (0.250, 0.250, 0.250)
Fe (0.750, 0.750, 0.750)
B (0.000, 0.000, 0.000)
Cl (0.500, 0.500, 0.500)

Computed properties:
Formation energy from raw total energies ... 0.908 eV/atom
M_tot ... 0.00 μB per formula unit
Mass density ... 6.57 Mg/m³